# Ba3Sn4Pt4

Crystalline Ba3Sn4Pt4 at its relaxed geometry (PBE, the Alexandria database).

Lattice parameters (Å, degrees): 4.7251 4.8945 26.7923 90.00 90.00 90.00
Space group Immm (No. 71)
One atom of each set of equivalent atoms:
Ba1 0.0000 0.0000 0.0000 x2
Ba2 0.0000 0.5000 0.3505 x4
Sn1 0.0000 0.0000 0.4464 x4
Sn2 0.0000 0.5000 0.2028 x4
Pt1 0.0000 0.0000 0.2469 x4
Pt2 0.0000 0.5000 0.1020 x4

Output
magnetization = 0.00 μB/f.u.
D(E_F) = 0.54 states/eV/atom
energy = -0.36264 Ry/atom
volume = 28.164 Å³ per atom